Below is a relaxed structure of KAs2Pd, with properties calculated at the PBE-GGA level.

Output
calculated formation energy: -32.9 kJ/mol of atoms

a b c (Å): 7.246 7.246 7.246
angles (deg): 32.75 32.75 32.75
Fractional coordinates of all 4 atoms:
K 0.000 0.000 0.000
As 0.553 0.553 0.553
As 0.790 0.790 0.790
Pd 0.173 0.173 0.173

---

Below is a relaxed structure of K2As3Pd5, with properties calculated at the PBE-GGA level.

Output
calculated formation energy: -34.7 kJ/mol of atoms

a b c (Å): 8.739 8.739 8.739
angles (deg): 109.77 86.39 136.45
Fractional coordinates of all 20 atoms:
K 0.131 0.245 0.375
K 0.369 0.745 0.114
K 0.631 0.255 0.886
K 0.869 0.755 0.625
As 0.121 0.626 0.747
As 0.250 0.250 0.000
As 0.379 0.126 0.505
As 0.621 0.874 0.495
As 0.750 0.750 0.000
As 0.879 0.374 0.253
Pd 0.022 0.750 0.272
Pd 0.115 0.879 0.994
Pd 0.250 0.750 0.500
Pd 0.385 0.379 0.765
Pd 0.478 0.750 0.728
Pd 0.522 0.250 0.272
Pd 0.615 0.621 0.235
Pd 0.750 0.250 0.500
Pd 0.885 0.121 0.006
Pd 0.978 0.250 0.728

---

Below is a relaxed structure of K2As4Pd3, with properties calculated at the PBE-GGA level.

Output
calculated formation energy: -35.0 kJ/mol of atoms

a b c (Å): 9.016 8.043 5.848
angles (deg): 79.21 61.21 39.58
Fractional coordinates of all 9 atoms:
K 0.156 0.156 0.844
K 0.844 0.844 0.156
As 0.211 0.541 0.459
As 0.459 0.789 0.211
As 0.541 0.211 0.789
As 0.789 0.459 0.541
Pd 0.000 0.000 0.500
Pd 0.500 0.500 0.000
Pd 0.500 0.500 0.500

---

Below is a relaxed structure of KAs3Pd5, with properties calculated at the PBE-GGA level.

Output
calculated formation energy: -43.4 kJ/mol of atoms

a b c (Å): 6.965 6.965 13.107
angles (deg): 90.00 90.00 146.89
Fractional coordinates of all 18 atoms:
K 0.155 0.845 0.750
K 0.845 0.155 0.250
As 0.120 0.880 0.250
As 0.382 0.618 0.040
As 0.382 0.618 0.460
As 0.618 0.382 0.540
As 0.618 0.382 0.960
As 0.880 0.120 0.750
Pd 0.000 0.000 0.000
Pd 0.000 0.000 0.500
Pd 0.201 0.799 0.066
Pd 0.201 0.799 0.434
Pd 0.441 0.559 0.644
Pd 0.441 0.559 0.856
Pd 0.559 0.441 0.144
Pd 0.559 0.441 0.356
Pd 0.799 0.201 0.566
Pd 0.799 0.201 0.934

---

Below is a relaxed structure of KAs3Pd3, with properties calculated at the PBE-GGA level.

Output
calculated formation energy: -32.9 kJ/mol of atoms

a b c (Å): 8.963 8.963 8.963
angles (deg): 47.09 47.09 47.09
Fractional coordinates of all 14 atoms:
K 0.167 0.167 0.167
K 0.833 0.833 0.833
As 0.075 0.724 0.398
As 0.276 0.602 0.925
As 0.398 0.075 0.724
As 0.602 0.925 0.276
As 0.724 0.398 0.075
As 0.925 0.276 0.602
Pd 0.031 0.372 0.709
Pd 0.291 0.969 0.628
Pd 0.372 0.709 0.031
Pd 0.628 0.291 0.969
Pd 0.709 0.031 0.372
Pd 0.969 0.628 0.291

---

Below is a relaxed structure of K2As2Pd, with properties calculated at the PBE-GGA level.

Output
calculated formation energy: -50.5 kJ/mol of atoms

a b c (Å): 7.999 7.999 6.079
angles (deg): 90.00 90.00 131.70
Fractional coordinates of all 10 atoms:
K 0.079 0.921 0.750
K 0.294 0.706 0.250
K 0.706 0.294 0.750
K 0.921 0.079 0.250
As 0.202 0.425 0.750
As 0.425 0.202 0.250
As 0.575 0.798 0.750
As 0.798 0.575 0.250
Pd 0.500 0.500 0.000
Pd 0.500 0.500 0.500

---

Below is a relaxed structure of K3AsPd2, with properties calculated at the PBE-GGA level.

Output
calculated formation energy: -22.4 kJ/mol of atoms

a b c (Å): 6.539 11.913 10.868
angles (deg): 90.00 115.92 90.00
Fractional coordinates of all 24 atoms:
K 0.008 0.148 0.113
K 0.008 0.352 0.613
K 0.370 0.167 0.474
K 0.370 0.333 0.974
K 0.413 0.035 0.785
K 0.413 0.465 0.285
K 0.587 0.535 0.715
K 0.587 0.965 0.215
K 0.630 0.667 0.026
K 0.630 0.833 0.526
K 0.992 0.648 0.387
K 0.992 0.852 0.887
As 0.108 0.617 0.743
As 0.108 0.883 0.243
As 0.892 0.117 0.757
As 0.892 0.383 0.257
Pd 0.092 0.580 0.956
Pd 0.092 0.920 0.456
Pd 0.233 0.720 0.169
Pd 0.233 0.780 0.669
Pd 0.767 0.220 0.331
Pd 0.767 0.280 0.831
Pd 0.908 0.080 0.544
Pd 0.908 0.420 0.044

---

Below is a relaxed structure of KAs3Pd, with properties calculated at the PBE-GGA level.

Output
calculated formation energy: 175.1 kJ/mol of atoms

a b c (Å): 5.355 5.355 5.355
angles (deg): 90.00 90.00 90.00
Fractional coordinates of all 5 atoms:
K 0.000 0.000 0.000
As 0.000 0.000 0.500
As 0.000 0.500 0.000
As 0.500 0.000 0.000
Pd 0.500 0.500 0.500

---

Below is a relaxed structure of KAs3Pd4, with properties calculated at the PBE-GGA level.

Output
calculated formation energy: -37.4 kJ/mol of atoms

a b c (Å): 4.320 4.320 8.349
angles (deg): 90.00 90.00 90.00
Fractional coordinates of all 8 atoms:
K 0.000 0.000 0.000
As 0.000 0.000 0.500
As 0.500 0.500 0.169
As 0.500 0.500 0.831
Pd 0.000 0.500 0.328
Pd 0.000 0.500 0.672
Pd 0.500 0.000 0.328
Pd 0.500 0.000 0.672

---

Below is a relaxed structure of K2As3Pd6, with properties calculated at the PBE-GGA level.

Output
calculated formation energy: -32.0 kJ/mol of atoms

a b c (Å): 7.584 7.584 4.409
angles (deg): 90.00 90.00 120.00
Fractional coordinates of all 11 atoms:
K 0.333 0.667 0.000
K 0.667 0.333 0.000
As 0.000 0.365 0.500
As 0.365 0.000 0.500
As 0.635 0.635 0.500
Pd 0.000 0.208 0.000
Pd 0.000 0.712 0.500
Pd 0.208 0.000 0.000
Pd 0.288 0.288 0.500
Pd 0.712 0.000 0.500
Pd 0.792 0.792 0.000

---

Below is a relaxed structure of KAs3Pd, with properties calculated at the PBE-GGA level.

Output
calculated formation energy: 19.9 kJ/mol of atoms

a b c (Å): 5.044 5.044 5.044
angles (deg): 90.00 90.00 90.00
Fractional coordinates of all 5 atoms:
K 0.000 0.000 0.000
As 0.000 0.500 0.500
As 0.500 0.000 0.500
As 0.500 0.500 0.000
Pd 0.500 0.500 0.500

---

no.,total moment (Bohr magnetons per cell)
1,0.00
2,0.00
3,0.00
4,0.00
5,0.00
6,0.00
7,0.00
8,1.86
9,0.00
10,0.00
11,0.00